Computed, not measured: a relaxed structure of SbTe2CF at the PBE level of DFT.

The calculation puts the raw formation energy at 665 meV per atom. As for the volume: 21.6 Å³ per atom. As for the total moment: 0.00 μB per atom. The value obtained for the density is 6.28 g cm⁻³.

The structure belongs to space group P4/mmm (No. 123); the cell edges are 4.781, 4.781 and 4.717 Å and the angles 90.00°, 90.00° and 90.00°. Symmetry generates all atoms from Sb at (0.000, 0.000, 0.000), Te at (0.000, 0.500, 0.500), C at (0.000, 0.000, 0.500) and F at (0.500, 0.500, 0.000).